*i*
Computed, not measured: a geometry-optimized TaPRuO2 structure at the PBE-GGA level of DFT.

Values from the calculation:
- symmetry = P4/mmm, No. 123

Cell: 3.736 3.736 5.279 Å, 90.00 90.00 90.00°
Sites, in units of the cell vectors:
O  0.500  0.000  0.000
O  0.000  0.500  0.000
Ta  0.500  0.500  0.500
P  0.000  0.000  0.500
Ru  0.000  0.000  0.000



*ii*
Computed, not measured: a geometry-optimized TaPRuO2 structure at the PBE-GGA level of DFT.

Values from the calculation:
- symmetry = P4/mmm, No. 123

Cell: 3.819 3.819 5.427 Å, 90.00 90.00 90.00°
Sites, in units of the cell vectors:
Ta  0.000  0.000  0.000
O  0.500  0.000  0.000
O  0.000  0.500  0.000
P  0.000  0.000  0.500
Ru  0.500  0.500  0.500



Computed stability ranking, most favorable first: *ii*, *i*



*i*
Computed, not measured: a geometry-optimized TcP2RuO structure at the PBE-GGA level of DFT.

Values from the calculation:
- symmetry = P4/mmm, No. 123

Cell: 4.740 4.740 3.606 Å, 90.00 90.00 90.00°
Sites, in units of the cell vectors:
P  0.500  0.000  0.000
P  0.000  0.500  0.000
O  0.000  0.000  0.500
Ru  0.000  0.000  0.000
Tc  0.500  0.500  0.500



*ii*
Computed, not measured: a geometry-optimized TcP2RuO structure at the PBE-GGA level of DFT.

Values from the calculation:
- symmetry = P4/mmm, No. 123

Cell: 4.719 4.719 3.621 Å, 90.00 90.00 90.00°
Sites, in units of the cell vectors:
O  0.000  0.000  0.500
Ru  0.500  0.500  0.500
P  0.500  0.000  0.000
P  0.000  0.500  0.000
Tc  0.000  0.000  0.000



Computed stability ranking, most favorable first: *ii*, *i*



*i*
Computed, not measured: a geometry-optimized TeP2RuO structure at the PBE-GGA level of DFT.

Values from the calculation:
- symmetry = P4/mmm, No. 123

Cell: 5.011 5.011 3.816 Å, 90.00 90.00 90.00°
Sites, in units of the cell vectors:
P  0.000  0.500  0.000
P  0.500  0.000  0.000
Te  0.000  0.000  0.000
Ru  0.500  0.500  0.500
O  0.000  0.000  0.500



*ii*
Computed, not measured: a geometry-optimized TeP2RuO structure at the PBE-GGA level of DFT.

Values from the calculation:
- symmetry = P4/mmm, No. 123

Cell: 4.817 4.817 3.735 Å, 90.00 90.00 90.00°
Sites, in units of the cell vectors:
P  0.500  0.000  0.000
P  0.000  0.500  0.000
O  0.000  0.000  0.500
Te  0.500  0.500  0.500
Ru  0.000  0.000  0.000



Computed stability ranking, most favorable first: *ii*, *i*



*i*
Computed, not measured: a geometry-optimized YP2RuO structure at the PBE-GGA level of DFT.

Values from the calculation:
- symmetry = P4/mmm, No. 123

Cell: 4.848 4.848 3.728 Å, 90.00 90.00 90.00°
Sites, in units of the cell vectors:
O  0.000  0.000  0.500
Ru  0.000  0.000  0.000
P  0.500  0.000  0.000
P  0.000  0.500  0.000
Y  0.500  0.500  0.500



*ii*
Computed, not measured: a geometry-optimized YP2RuO structure at the PBE-GGA level of DFT.

Values from the calculation:
- symmetry = P4/mmm, No. 123

Cell: 5.321 5.321 4.073 Å, 90.00 90.00 90.00°
Sites, in units of the cell vectors:
Y  0.000  0.000  0.000
P  0.500  0.000  0.000
P  0.000  0.500  0.000
O  0.000  0.000  0.500
Ru  0.500  0.500  0.500



Computed stability ranking, most favorable first: *i*, *ii*



*i*
Computed, not measured: a geometry-optimized ZnP2RuO structure at the PBE-GGA level of DFT.

Values from the calculation:
- symmetry = P4/mmm, No. 123

Cell: 4.773 4.773 3.675 Å, 90.00 90.00 90.00°
Sites, in units of the cell vectors:
O  0.000  0.000  0.500
P  0.000  0.500  0.000
P  0.500  0.000  0.000
Zn  0.500  0.500  0.500
Ru  0.000  0.000  0.000



*ii*
Computed, not measured: a geometry-optimized ZnP2RuO structure at the PBE-GGA level of DFT.

Values from the calculation:
- symmetry = P4/mmm, No. 123

Cell: 4.730 4.730 3.487 Å, 90.00 90.00 90.00°
Sites, in units of the cell vectors:
O  0.000  0.000  0.500
P  0.500  0.000  0.000
P  0.000  0.500  0.000
Zn  0.000  0.000  0.000
Ru  0.500  0.500  0.500



Computed stability ranking, most favorable first: *i*, *ii*



*i*
Computed, not measured: a geometry-optimized PS2O structure at the PBE-GGA level of DFT.

Values from the calculation:
- symmetry = R-3m, No. 166

Cell: 8.047 8.047 8.047 Å, 20.03 20.03 20.03°
Sites, in units of the cell vectors:
S  0.903  0.903  0.903
S  0.097  0.097  0.097
O  0.500  0.500  0.500
P  0.000  0.000  0.000



*ii*
Computed, not measured: a geometry-optimized PS2O structure at the PBE-GGA level of DFT.

Values from the calculation:
- symmetry = R-3m, No. 166

Cell: 6.787 6.787 6.787 Å, 28.79 28.79 28.79°
Sites, in units of the cell vectors:
S  0.907  0.907  0.907
S  0.093  0.093  0.093
O  0.000  0.000  0.000
P  0.500  0.500  0.500



Computed stability ranking, most favorable first: *ii*, *i*



*i*
Computed, not measured: a geometry-optimized PS2O structure at the PBE-GGA level of DFT.

Values from the calculation:
- symmetry = Fm-3m, No. 225

Cell: 4.124 4.124 4.124 Å, 60.00 60.00 60.00°
Sites, in units of the cell vectors:
P  0.500  0.500  0.500
S  0.250  0.250  0.250
S  0.750  0.750  0.750
O  0.000  0.000  0.000



*ii*
Computed, not measured: a geometry-optimized PS2O structure at the PBE-GGA level of DFT.

Values from the calculation:
- symmetry = I-42d, No. 122

Cell: 5.921 5.921 5.458 Å, 57.15 57.15 90.00°
Sites, in units of the cell vectors:
P  0.750  0.250  0.500
P  0.000  0.000  0.000
O  0.500  0.500  0.000
O  0.250  0.750  0.500
S  0.114  0.625  0.250
S  0.375  0.364  0.750
S  0.636  0.125  0.250
S  0.875  0.886  0.750



Computed stability ranking, most favorable first: *ii*, *i*



*i*
Computed, not measured: a geometry-optimized PS3O structure at the PBE-GGA level of DFT.

Values from the calculation:
- symmetry = Pm-3m, No. 221

Cell: 4.398 4.398 4.398 Å, 90.00 90.00 90.00°
Sites, in units of the cell vectors:
S  0.500  0.000  0.000
S  0.000  0.500  0.000
S  0.000  0.000  0.500
P  0.000  0.000  0.000
O  0.500  0.500  0.500



*ii*
Computed, not measured: a geometry-optimized PS3O structure at the PBE-GGA level of DFT.

Values from the calculation:
- symmetry = Pm-3m, No. 221

Cell: 4.223 4.223 4.223 Å, 90.00 90.00 90.00°
Sites, in units of the cell vectors:
P  0.500  0.500  0.500
S  0.000  0.000  0.500
S  0.000  0.500  0.000
S  0.500  0.000  0.000
O  0.000  0.000  0.000



Computed stability ranking, most favorable first: *ii*, *i*